Model a:
Entry from Alexandria: a relaxed structure of PmAsF (PBE-GGA).

**Symmetry**: I4mm (107)
**Density**: 3.99 Mg/m³

Cell: 4.167 4.167 6.435 Å, 108.89 108.89 90.00°
Fractional positions:
As1 0.856 0.856 0.712
Pm1 0.406 0.406 0.813
F1 0.588 0.588 0.176

=====

Model b:
Entry from Alexandria: a relaxed structure of PmAsF (PBE-GGA).

**Symmetry**: P-6m2 (187)
**Density**: 6.39 Mg/m³

Cell: 4.407 4.034 4.034 Å, 120.00 90.00 90.00°
Fractional positions:
As1 0.667 0.667 0.333
F1 0.167 0.333 0.667
Pm1 0.167 0.000 0.000

=====

Name the least stable of them. model a.

=====

Model a:
Entry from Alexandria: a relaxed structure of PmAsF (PBE-GGA).

**Symmetry**: P-1 (2)
**Density**: 5.99 Mg/m³

Cell: 4.041 7.180 6.871 Å, 45.80 90.36 105.96°
Fractional positions:
Pm1 0.314 0.127 0.642
Pm2 0.686 0.873 0.358
As1 0.982 0.401 0.737
As2 0.018 0.599 0.263
F1 0.709 0.910 0.680
F2 0.291 0.090 0.320

=====

Model b:
Entry from Alexandria: a relaxed structure of PmAsF (PBE-GGA).

**Symmetry**: C2/m (12)
**Density**: 5.52 Mg/m³

Cell: 4.315 5.206 11.299 Å, 44.60 90.00 114.49°
Fractional positions:
Pm1 0.977 0.955 0.257
Pm2 0.023 0.045 0.743
F1 0.298 0.596 0.404
F2 0.702 0.404 0.596
As1 0.207 0.415 0.867
As2 0.793 0.585 0.133

=====

Name the least stable of them. model b.

=====

Model a:
Entry from Alexandria: a relaxed structure of Pm2AsF (PBE-GGA).

**Symmetry**: R-3m (166)
**Density**: 5.42 Mg/m³

Cell: 4.159 4.159 8.207 Å, 75.32 75.32 60.00°
Fractional positions:
As1 0.500 0.500 0.500
F1 0.000 0.000 0.000
Pm1 0.096 0.096 0.711
Pm2 0.904 0.904 0.289

=====

Model b:
Entry from Alexandria: a relaxed structure of Pm2AsF (PBE-GGA).

**Symmetry**: P4/mmm (123)
**Density**: 7.33 Mg/m³

Cell: 3.697 4.852 4.852 Å, 90.00 90.00 90.00°
Fractional positions:
As1 0.500 0.000 0.000
F1 0.500 0.500 0.500
Pm1 0.000 0.000 0.500
Pm2 0.000 0.500 0.000

=====

Model c:
Entry from Alexandria: a relaxed structure of Pm2AsF (PBE-GGA).

**Symmetry**: Fm-3m (225)
**Density**: 7.45 Mg/m³

Cell: 4.947 4.947 4.947 Å, 60.00 60.00 60.00°
Fractional positions:
As1 0.000 0.000 0.000
F1 0.500 0.500 0.500
Pm1 0.250 0.250 0.250
Pm2 0.750 0.750 0.750

=====

Name the least stable of them. model b.

=====

Model a:
Entry from Alexandria: a relaxed structure of PrAsF (PBE-GGA).

**Symmetry**: I4mm (107)
**Density**: 6.29 Mg/m³

Cell: 3.401 3.401 5.872 Å, 106.83 106.83 90.00°
Fractional positions:
Pr1 0.709 0.709 0.418
As1 0.006 0.006 0.012
F1 0.285 0.285 0.570

=====

Model b:
Entry from Alexandria: a relaxed structure of PrAsF (PBE-GGA).

**Symmetry**: P-6m2 (187)
**Density**: 6.00 Mg/m³

Cell: 4.449 4.107 4.107 Å, 120.00 90.00 90.00°
Fractional positions:
Pr1 0.167 0.000 0.000
As1 0.667 0.667 0.333
F1 0.167 0.333 0.667

=====

Name the least stable of them. model a.

=====

Model a:
Entry from Alexandria: a relaxed structure of As2PtF (PBE-GGA).

**Symmetry**: I-42d (122)
**Density**: 7.03 Mg/m³

Cell: 5.363 5.363 7.077 Å, 67.73 67.73 90.00°
Fractional positions:
As1 0.632 0.125 0.250
As2 0.118 0.625 0.250
As3 0.375 0.368 0.750
As4 0.875 0.882 0.750
Pt1 0.000 0.000 0.000
Pt2 0.750 0.250 0.500
F1 0.500 0.500 0.000
F2 0.250 0.750 0.500

=====

Model b:
Entry from Alexandria: a relaxed structure of As2PtF (PBE-GGA).

**Symmetry**: Fm-3m (225)
**Density**: 10.26 Mg/m³

Cell: 4.367 4.367 4.367 Å, 60.00 60.00 60.00°
Fractional positions:
As1 0.250 0.250 0.250
As2 0.750 0.750 0.750
Pt1 0.500 0.500 0.500
F1 0.000 0.000 0.000

=====

Name the least stable of them. model a.

=====

Model a:
Entry from Alexandria: a relaxed structure of AsPtF2 (PBE-GGA).

**Symmetry**: Fm-3m (225)
**Density**: 9.49 Mg/m³

Cell: 4.240 4.240 4.240 Å, 60.00 60.00 60.00°
Fractional positions:
As1 0.000 0.000 0.000
Pt1 0.500 0.500 0.500
F1 0.250 0.250 0.250
F2 0.750 0.750 0.750

=====

Model b:
Entry from Alexandria: a relaxed structure of AsPtF2 (PBE-GGA).

**Symmetry**: R-3m (166)
**Density**: 9.10 Mg/m³

Cell: 8.167 8.167 8.167 Å, 20.08 20.08 20.08°
Fractional positions:
As1 0.500 0.500 0.500
Pt1 0.000 0.000 0.000
F1 0.916 0.916 0.916
F2 0.084 0.084 0.084

=====

Model c:
Entry from Alexandria: a relaxed structure of AsPtF2 (PBE-GGA).

**Symmetry**: I-42d (122)
**Density**: 9.35 Mg/m³

Cell: 8.445 8.445 8.445 Å, 154.76 154.76 35.99°
Fractional positions:
As1 0.250 0.750 0.500
As2 0.500 0.500 0.000
Pt1 0.750 0.250 0.500
Pt2 0.000 0.000 0.000
F1 0.619 0.125 0.994
F2 0.131 0.625 0.006
F3 0.875 0.869 0.494
F4 0.375 0.381 0.506

=====

Name the least stable of them. model a.

=====

Model a:
Entry from Alexandria: a relaxed structure of As2PtF2 (PBE-GGA).

**Symmetry**: P4/mbm (127)
**Density**: 8.14 Mg/m³

Cell: 6.253 6.253 3.998 Å, 90.00 90.00 90.00°
Fractional positions:
As1 0.362 0.862 0.000
As2 0.862 0.638 0.000
As3 0.638 0.138 0.000
As4 0.138 0.362 0.000
Pt1 0.000 0.000 0.000
Pt2 0.500 0.500 0.000
F1 0.141 0.641 0.500
F2 0.641 0.859 0.500
F3 0.859 0.359 0.500
F4 0.359 0.141 0.500

=====

Model b:
Entry from Alexandria: a relaxed structure of As2PtF2 (PBE-GGA).

**Symmetry**: I4/mmm (139)
**Density**: 8.92 Mg/m³

Cell: 3.372 3.372 6.707 Å, 75.44 75.44 90.00°
Fractional positions:
As1 0.382 0.382 0.237
As2 0.618 0.618 0.763
Pt1 0.000 0.000 0.000
F1 0.750 0.250 0.500
F2 0.250 0.750 0.500

=====

Name the least stable of them. model b.